[1]
A relaxed structure of Tl2SnHg2Pb6, computed with PBE.

## Properties
- Magnetic moment: 0.000 μB/atom
- Energy of formation: 69 kJ/mol of formula units
- V: 30.65 Å³/atom
- Mass density: 10.698 Mg/m³

Cell and atoms, written as CIF:
```
data_Tl2SnHg2Pb6
_symmetry_space_group_name_H-M 'C 1 2/m 1'
_symmetry_Int_Tables_number 12
_cell_length_a 17.529
_cell_length_b 6.642
_cell_length_c 6.137
_cell_angle_alpha 90.00
_cell_angle_beta 109.34
_cell_angle_gamma 90.00
loop_
_symmetry_equiv_pos_as_xyz
'x,y,z'
'-x,-y,-z'
'-x,y,-z'
'x,-y,z'
'x+1/2,y+1/2,z'
'-x+1/2,-y+1/2,-z'
'-x+1/2,y+1/2,-z'
'x+1/2,-y+1/2,z'
loop_
_atom_site_label
_atom_site_type_symbol
_atom_site_fract_x
_atom_site_fract_y
_atom_site_fract_z
Tl1 Tl 0.087 0.000 0.454
Sn1 Sn 0.000 0.500 0.500
Hg1 Hg 0.240 0.000 0.900
Pb1 Pb 0.094 0.251 0.981
Pb2 Pb 0.193 0.500 0.534
```


[2]
A relaxed structure of TlSn2HgPb, computed with PBE.

## Properties
- Magnetic moment: 0.000 μB/atom
- Energy of formation: 22 kJ/mol of formula units
- V: 30.68 Å³/atom
- Mass density: 9.196 Mg/m³

Cell and atoms, written as CIF:
```
data_TlSn2HgPb
_symmetry_space_group_name_H-M 'C m c m'
_symmetry_Int_Tables_number 63
_symmetry_space_group_name_Hall '-C 2c 2'
_cell_length_a 4.331
_cell_length_b 13.693
_cell_length_c 10.348
_cell_angle_alpha 90.00
_cell_angle_beta 90.00
_cell_angle_gamma 90.00
loop_
_atom_site_label
_atom_site_type_symbol
_atom_site_fract_x
_atom_site_fract_y
_atom_site_fract_z
Tl1 Tl 0.000 0.048 0.250
Sn1 Sn 0.000 0.293 0.590
Hg1 Hg 0.000 0.500 0.000
Pb1 Pb 0.000 0.344 0.250
```


[3]
A relaxed structure of Tl2SnHgPb, computed with PBE.

## Properties
- Magnetic moment: 0.000 μB/atom
- Energy of formation: 31 kJ/mol of formula units
- V: 31.37 Å³/atom
- Mass density: 9.902 Mg/m³

Cell and atoms, written as CIF:
```
data_Tl2SnHgPb
_symmetry_space_group_name_H-M 'C m c m'
_symmetry_Int_Tables_number 63
_symmetry_space_group_name_Hall '-C 2c 2'
_cell_length_a 3.615
_cell_length_b 16.614
_cell_length_c 10.445
_cell_angle_alpha 90.00
_cell_angle_beta 90.00
_cell_angle_gamma 90.00
loop_
_atom_site_label
_atom_site_type_symbol
_atom_site_fract_x
_atom_site_fract_y
_atom_site_fract_z
Tl1 Tl 0.000 0.168 0.074
Sn1 Sn 0.000 0.033 0.750
Hg1 Hg 0.000 0.209 0.750
Pb1 Pb 0.000 0.500 0.000
```


[4]
A relaxed structure of Tl3SnHg2Pb3, computed with PBE.

## Properties
- Magnetic moment: 0.000 μB/atom
- Energy of formation: 17 kJ/mol of formula units
- V: 29.47 Å³/atom
- Mass density: 10.985 Mg/m³

Cell and atoms, written as CIF:
```
data_Tl3SnHg2Pb3
_symmetry_space_group_name_H-M 'P -6 2 m'
_symmetry_Int_Tables_number 189
_symmetry_space_group_name_Hall 'P -6 -2'
_cell_length_a 9.5275
_cell_length_b 9.5275
_cell_length_c 3.3739
_cell_angle_alpha 90.00
_cell_angle_beta 90.00
_cell_angle_gamma 120.00
loop_
_atom_site_label
_atom_site_type_symbol
_atom_site_fract_x
_atom_site_fract_y
_atom_site_fract_z
Tl1 Tl 0.0000 0.6850 0.0000
Sn1 Sn 0.0000 0.0000 0.5000
Hg1 Hg 0.3333 0.6667 0.0000
Pb1 Pb 0.0000 0.3558 0.5000
```


[5]
A relaxed structure of TlSnHg2Pb2, computed with PBE.

## Properties
- Magnetic moment: 0.000 μB/atom
- Energy of formation: 19 kJ/mol of formula units
- V: 28.58 Å³/atom
- Mass density: 11.025 Mg/m³

Cell and atoms, written as CIF:
```
data_TlSnHg2Pb2
_symmetry_space_group_name_H-M 'P m c 21'
_symmetry_Int_Tables_number 26
_cell_length_a 5.250
_cell_length_b 9.797
_cell_length_c 6.669
_cell_angle_alpha 90.00
_cell_angle_beta 90.00
_cell_angle_gamma 90.00
loop_
_symmetry_equiv_pos_as_xyz
'x,y,z'
'-x,-y,z+1/2'
'-x,y,z'
'x,-y,z+1/2'
loop_
_atom_site_label
_atom_site_type_symbol
_atom_site_fract_x
_atom_site_fract_y
_atom_site_fract_z
Tl1 Tl 0.000 0.023 0.000
Sn1 Sn 0.500 0.189 0.721
Hg1 Hg 0.000 0.343 0.875
Hg2 Hg 0.500 0.140 0.239
Pb1 Pb 0.000 0.320 0.391
Pb2 Pb 0.500 0.473 0.111
```


[6]
A relaxed structure of TlSnHg2Pb, computed with PBE.

## Properties
- Magnetic moment: 0.000 μB/atom
- Energy of formation: 29 kJ/mol of formula units
- V: 29.32 Å³/atom
- Mass density: 10.549 Mg/m³

Cell and atoms, written as CIF:
```
data_TlSnHg2Pb
_symmetry_space_group_name_H-M 'C m c m'
_symmetry_Int_Tables_number 63
_symmetry_space_group_name_Hall '-C 2c 2'
_cell_length_a 3.583
_cell_length_b 15.807
_cell_length_c 10.355
_cell_angle_alpha 90.00
_cell_angle_beta 90.00
_cell_angle_gamma 90.00
loop_
_atom_site_label
_atom_site_type_symbol
_atom_site_fract_x
_atom_site_fract_y
_atom_site_fract_z
Tl1 Tl 0.000 0.146 0.250
Sn1 Sn 0.000 0.436 0.250
Hg1 Hg 0.000 0.201 0.593
Pb1 Pb 0.000 0.000 0.000
```


[7]
A relaxed structure of YSnHgPb, computed with PBE.

## Properties
- Magnetic moment: 0.000 μB/atom
- Energy of formation: -95 kJ/mol of formula units
- V: 27.87 Å³/atom
- Mass density: 9.165 Mg/m³

Cell and atoms, written as CIF:
```
data_YSnHgPb
_symmetry_space_group_name_H-M 'F -4 3 m'
_symmetry_Int_Tables_number 216
_symmetry_space_group_name_Hall 'F -4 2 3'
_cell_length_a 7.640
_cell_length_b 7.640
_cell_length_c 7.640
_cell_angle_alpha 90.00
_cell_angle_beta 90.00
_cell_angle_gamma 90.00
loop_
_atom_site_label
_atom_site_type_symbol
_atom_site_fract_x
_atom_site_fract_y
_atom_site_fract_z
Y1 Y 0.000 0.000 0.000
Sn1 Sn 0.250 0.250 0.750
Hg1 Hg 0.250 0.250 0.250
Pb1 Pb 0.000 0.000 0.500
```


[8]
A relaxed structure of YSnHgPb, computed with PBE.

## Properties
- Magnetic moment: 0.000 μB/atom
- Energy of formation: -147 kJ/mol of formula units
- V: 26.15 Å³/atom
- Mass density: 9.770 Mg/m³

Cell and atoms, written as CIF:
```
data_YSnHgPb
_symmetry_space_group_name_H-M 'P m m m'
_symmetry_Int_Tables_number 47
_cell_length_a 4.562
_cell_length_b 4.782
_cell_length_c 4.795
_cell_angle_alpha 90.00
_cell_angle_beta 90.00
_cell_angle_gamma 90.00
loop_
_symmetry_equiv_pos_as_xyz
'x,y,z'
'-x,-y,-z'
'-x,-y,z'
'x,y,-z'
'x,-y,-z'
'-x,y,z'
'-x,y,-z'
'x,-y,z'
loop_
_atom_site_label
_atom_site_type_symbol
_atom_site_fract_x
_atom_site_fract_y
_atom_site_fract_z
Y1 Y 0.000 0.000 0.000
Sn1 Sn 0.500 0.500 0.000
Hg1 Hg 0.000 0.500 0.500
Pb1 Pb 0.500 0.000 0.500
```


- What is the mass density in the third record?
  9.902 Mg/m³